No. 1
Pr8Mg: relaxed, PBE.

Cell: 9.2699 9.2699 9.2699 Å, 92.43 92.43 156.22°
With the nearest neighbours (Å) after each atom.
Sites, in units of the cell vectors:
1 Pr 0.0000 0.3331 0.3331  10 Pr 3.58-3.82
2 Pr 0.0000 0.6669 0.6669  10 Pr 3.58-3.82
3 Pr 0.3331 0.0000 0.3331  10 Pr 3.58-3.82
4 Pr 0.3426 0.3426 0.6853  2 Mg 3.43, 6 Pr 3.58-3.82
5 Pr 0.3426 0.6574 0.0000  2 Mg 3.43, 6 Pr 3.58-3.82
6 Pr 0.6574 0.3426 0.0000  2 Mg 3.43, 6 Pr 3.58-3.82
7 Pr 0.6574 0.6574 0.3147  2 Mg 3.43, 6 Pr 3.58-3.82
8 Pr 0.6669 0.0000 0.6669  10 Pr 3.58-3.82
9 Mg 0.0000 0.0000 0.0000  8 Pr 3.43, 2 Mg 3.82

As for the density of states at the Fermi level: 15.3 states/eV per cell. For the formation enthalpy at 0 K, the calculation gives 0.05 eV/atom. Its space group is I4/mmm, No. 139. The value obtained for the relative energy among the computed polymorphs is 0.35 eV/f.u. The total DFT energy (no corrections) comes out at -39.36 eV per formula unit. As for the total magnetization: 0.000 μB/f.u.

No. 2
Sm2Se2Cl: relaxed, PBE.

Cell: 7.1819 7.1819 8.3154 Å, 109.42 109.42 47.74°
With the nearest neighbours (Å) after each atom.
Sites, in units of the cell vectors:
1 Sm 0.0076 0.0076 0.2466  2 Cl 2.84-2.85, 4 Se 2.89-2.96
2 Sm 0.3359 0.3359 0.9208  1 Cl 2.89, 5 Se 2.91-2.98
3 Sm 0.6641 0.6641 0.0792  1 Cl 2.89, 5 Se 2.91-2.98
4 Sm 0.9924 0.9924 0.7534  2 Cl 2.84-2.85, 4 Se 2.89-2.96
5 Se 0.1732 0.1732 0.0938  5 Sm 2.89-2.98
6 Se 0.4900 0.4900 0.7415  4 Sm 2.91-2.92
7 Se 0.5100 0.5100 0.2585  4 Sm 2.91-2.92
8 Se 0.8268 0.8268 0.9062  5 Sm 2.89-2.98
9 Cl 0.1524 0.1524 0.5975  3 Sm 2.84-2.89
10 Cl 0.8476 0.8476 0.4025  3 Sm 2.84-2.89

As for the density of states at the Fermi level: 3.7 states/eV per cell. For the uncorrected formation energy, the calculation gives -1.933 eV/atom. Its space group is C2/m, No. 12. The value obtained for the relative energy among the computed polymorphs is 0.00 eV/f.u. The total DFT energy (no corrections) comes out at -27.92 eV per formula unit. As for the total magnetization: 0.000 μB/f.u.

No. 3
CoOsAu4: relaxed, PBE.

Cell: 5.3542 5.3542 5.3542 Å, 60.00 60.00 60.00°
With the nearest neighbours (Å) after each atom.
Sites, in units of the cell vectors:
1 Co 0.0000 0.0000 0.0000  12 Au 3.14, 4 Os 3.28
2 Os 0.7500 0.7500 0.7500  12 Au 3.14, 4 Co 3.28
3 Au 0.3750 0.3750 0.3750  6 Au 2.68
4 Au 0.3750 0.3750 0.8751  6 Au 2.68
5 Au 0.3750 0.8751 0.3750  6 Au 2.68
6 Au 0.8751 0.3750 0.3750  6 Au 2.68

As for the density of states at the Fermi level: 5.9 states/eV per cell. For the formation enthalpy at 0 K, the calculation gives 0.95 eV/atom. Its space group is F-43m, No. 216. The total DFT energy (no corrections) comes out at -25.72 eV per formula unit. As for the total magnetization: 4.098 μB/f.u.

No. 4
ReAs2Cl: relaxed, PBE.

Cell: 2.9552 2.9552 9.1062 Å, 90.00 90.00 90.00°
With the nearest neighbours (Å) after each atom.
Sites, in units of the cell vectors:
1 Re 0.0000 0.0000 0.0000  4 As 2.60, 4 Cl 2.67
2 As 0.0000 0.0000 0.4509  8 As 2.96-3.30
3 As 0.5000 0.5000 0.1703  4 Re 2.60
4 Cl 0.5000 0.5000 0.8171  4 Re 2.67, 4 Cl 2.96

As for the density of states at the Fermi level: 2.9 states/eV per cell. For the uncorrected formation energy, the calculation gives 0.461 eV/atom. Its space group is P4mm, No. 99. The value obtained for the relative energy among the computed polymorphs is 1.62 eV/f.u. The total DFT energy (no corrections) comes out at -21.75 eV per formula unit. As for the total magnetization: 0.000 μB/f.u.

No. 5
Ti2FeH: relaxed, PBE.

Cell: 5.7555 5.7555 5.7555 Å, 90.00 90.00 90.00°
With the nearest neighbours (Å) after each atom.
Sites, in units of the cell vectors:
1 Ti 0.2500 0.2500 0.2500  4 H 2.49, 4 Fe 2.49
2 Ti 0.2500 0.2500 0.7500  4 H 2.49, 4 Fe 2.49
3 Ti 0.2500 0.7500 0.2500  4 H 2.49, 4 Fe 2.49
4 Ti 0.2500 0.7500 0.7500  4 H 2.49, 4 Fe 2.49
5 Ti 0.7500 0.2500 0.2500  4 H 2.49, 4 Fe 2.49
6 Ti 0.7500 0.2500 0.7500  4 H 2.49, 4 Fe 2.49
7 Ti 0.7500 0.7500 0.2500  4 H 2.49, 4 Fe 2.49
8 Ti 0.7500 0.7500 0.7500  4 H 2.49, 4 Fe 2.49
9 Fe 0.0000 0.0000 0.0000  8 Ti 2.49
10 Fe 0.0000 0.5000 0.5000  8 Ti 2.49
11 Fe 0.5000 0.0000 0.5000  8 Ti 2.49
12 Fe 0.5000 0.5000 0.0000  8 Ti 2.49
13 H 0.0000 0.0000 0.5000  8 Ti 2.49
14 H 0.0000 0.5000 0.0000  8 Ti 2.49
15 H 0.5000 0.0000 0.0000  8 Ti 2.49
16 H 0.5000 0.5000 0.5000  8 Ti 2.49

As for the density of states at the Fermi level: 14.4 states/eV per cell. Its space group is Fm-3m, No. 225. The value obtained for the relative energy among the computed polymorphs is 0.93 eV/f.u. The total DFT energy (no corrections) comes out at -27.11 eV per formula unit. As for the total magnetization: 0.002 μB/f.u.

No. 6
Hf4CuSb: relaxed, PBE.

Cell: 6.6477 6.6477 5.5932 Å, 90.00 90.00 90.00°
With the nearest neighbours (Å) after each atom.
Sites, in units of the cell vectors:
1 Hf 0.1408 0.3304 0.0000  2 Cu 2.77, 1 Hf 2.93, 2 Sb 2.99
2 Hf 0.1408 0.6696 0.5000  2 Cu 2.77, 1 Hf 2.93, 2 Sb 2.99
3 Hf 0.3304 0.1408 0.5000  2 Cu 2.77, 1 Hf 2.93, 2 Sb 2.99
4 Hf 0.3304 0.8592 0.0000  2 Cu 2.77, 1 Hf 2.93, 2 Sb 2.99
5 Hf 0.6696 0.1408 0.0000  2 Cu 2.77, 1 Hf 2.93, 2 Sb 2.99
6 Hf 0.6696 0.8592 0.5000  2 Cu 2.77, 1 Hf 2.93, 2 Sb 2.99
7 Hf 0.8592 0.3304 0.5000  2 Cu 2.77, 1 Hf 2.93, 2 Sb 2.99
8 Hf 0.8592 0.6696 0.0000  2 Cu 2.77, 1 Hf 2.93, 2 Sb 2.99
9 Cu 0.0000 0.0000 0.2500  8 Hf 2.77, 2 Cu 2.80
10 Cu 0.0000 0.0000 0.7500  8 Hf 2.77, 2 Cu 2.80
11 Sb 0.5000 0.5000 0.2500  2 Sb 2.80, 8 Hf 2.99
12 Sb 0.5000 0.5000 0.7500  2 Sb 2.80, 8 Hf 2.99

As for the density of states at the Fermi level: 10.0 states/eV per cell. For the uncorrected formation energy, the calculation gives -0.215 eV/atom. Its space group is P4/mcc, No. 124. The total DFT energy (no corrections) comes out at -49.32 eV per formula unit. As for the total magnetization: 0.000 μB/f.u.